Record 1
## RbCr3W (PBE-GGA)

Data for a relaxed structure of RbCr3W.

Unit cell a=4.9669 b=4.9669 c=4.9669 alpha=90.00 beta=90.00 gamma=90.00
Atoms (fractional coordinates):
Cr 0.0000 0.5000 0.0000
Cr 0.0000 0.0000 0.5000
Cr 0.5000 0.0000 0.0000
Rb 0.5000 0.5000 0.5000
W 0.0000 0.0000 0.0000

Properties
For the formation energy, the calculation gives 1.49 eV/atom. The calculation puts the final energy at -7.07 eV/atom.

Record 2
## ZrTi2BiN (PBE-GGA)

Data for a relaxed structure of ZrTi2BiN.

Unit cell a=4.2064 b=4.2064 c=4.7488 alpha=90.00 beta=90.00 gamma=90.00
Atoms (fractional coordinates):
N 0.0000 0.0000 0.0000
Bi 0.5000 0.5000 0.5000
Zr 0.0000 0.0000 0.5000
Ti 0.0000 0.5000 0.0000
Ti 0.5000 0.0000 0.0000

Properties
The calculation puts the final energy at -8.00 eV/atom. Its formation energy (no corrections) is -0.690 eV per atom.

Record 3
## U3MnSe6 (PBE-GGA)

Data for a relaxed structure of U3MnSe6.

Unit cell a=6.8325 b=8.8660 c=8.8660 alpha=101.09 beta=90.00 gamma=90.00
Atoms (fractional coordinates):
U 0.4781 0.9255 0.7266
U 0.9781 0.7266 0.9255
U 0.3828 0.3973 0.6027
U 0.8828 0.6027 0.3973
U 0.9781 0.0745 0.2734
U 0.4781 0.2734 0.0745
Mn 0.0315 0.2084 0.7916
Mn 0.5315 0.7916 0.2084
Se 0.1798 0.6958 0.6297
Se 0.6798 0.6297 0.6958
Se 0.2090 0.4462 0.9081
Se 0.7090 0.9081 0.4462
Se 0.1730 0.0360 0.9640
Se 0.6642 0.2257 0.7743
Se 0.1642 0.7743 0.2257
Se 0.6730 0.9640 0.0360
Se 0.2090 0.0919 0.5538
Se 0.7090 0.5538 0.0919
Se 0.1798 0.3703 0.3042
Se 0.6798 0.3042 0.3703

Properties
The calculation puts the final energy at -7.36 eV/atom. Its formation energy (no corrections) is -0.961 eV per atom.

Record 4
## RbAlCo2H8 (PBE-GGA)

Data for a relaxed structure of RbAlCo2H8.

Unit cell a=4.3823 b=4.3823 c=7.2756 alpha=72.47 beta=72.47 gamma=60.00
Atoms (fractional coordinates):
Rb 0.5000 0.5000 0.5000
Al 0.0000 0.0000 0.0000
Co 0.3117 0.3117 0.0648
Co 0.6883 0.6883 0.9352
H 0.2353 0.2353 0.2942
H 0.5899 0.3788 0.1269
H 0.7647 0.7647 0.7058
H 0.9044 0.5899 0.1269
H 0.0956 0.4101 0.8731
H 0.3788 0.9044 0.1269
H 0.6212 0.0956 0.8731
H 0.4101 0.6212 0.8731

Properties
The calculation puts the final energy at -3.89 eV/atom.

Record 5
## MgSc5In2Rh2 (PBE-GGA)

Data for a relaxed structure of MgSc5In2Rh2.

Unit cell a=3.4980 b=11.1429 c=11.1429 alpha=90.00 beta=90.00 gamma=90.00
Atoms (fractional coordinates):
Mg 0.0000 0.0000 0.0000
Mg 0.0000 0.5000 0.5000
Sc 0.5000 0.2078 0.0743
Sc 0.5000 0.7922 0.9257
Sc 0.5000 0.0743 0.7922
Sc 0.5000 0.7078 0.4257
Sc 0.5000 0.9257 0.2078
Sc 0.5000 0.2922 0.5743
Sc 0.5000 0.5743 0.7078
Sc 0.5000 0.4257 0.2922
Sc 0.5000 0.5000 0.0000
Sc 0.5000 0.0000 0.5000
In 0.0000 0.6728 0.1728
In 0.0000 0.3272 0.8272
In 0.0000 0.1728 0.3272
In 0.0000 0.8272 0.6728
Rh 0.0000 0.1300 0.6300
Rh 0.0000 0.8700 0.3700
Rh 0.0000 0.6300 0.8700
Rh 0.0000 0.3700 0.1300

Properties
For the formation energy, the calculation gives -0.47 eV/atom. The calculation puts the final energy at -5.81 eV/atom.

Record 6
## Ho4SnBiN (PBE-GGA)

Data for a relaxed structure of Ho4SnBiN.

Unit cell a=6.6379 b=6.6347 c=8.6533 alpha=90.00 beta=112.55 gamma=90.00
Atoms (fractional coordinates):
Ho 0.9092 0.2500 0.8184
Ho 0.4048 0.7500 0.8097
Ho 0.0908 0.7500 0.1816
Ho 0.5952 0.2500 0.1903
Ho 0.5000 0.5000 0.5000
Ho 0.0000 0.0000 0.5000
Ho 0.5000 0.0000 0.5000
Ho 0.0000 0.5000 0.5000
Sn 0.1073 0.2500 0.2147
Sn 0.8927 0.7500 0.7853
Bi 0.6040 0.7500 0.2079
Bi 0.3960 0.2500 0.7921
N 0.2491 0.7500 0.4981
N 0.7509 0.2500 0.5019

Properties
The calculation puts the final energy at -5.88 eV/atom. Its formation energy (no corrections) is -0.947 eV per atom.

Record 7
## NdGdTlCd (PBE-GGA)

Data for a relaxed structure of NdGdTlCd.

Unit cell a=5.4367 b=5.4367 c=5.4367 alpha=60.00 beta=60.00 gamma=60.00
Atoms (fractional coordinates):
Tl 0.2500 0.2500 0.2500
Gd 0.5000 0.5000 0.5000
Nd 0.0000 0.0000 0.0000
Cd 0.7500 0.7500 0.7500

Properties
For the formation energy, the calculation gives -0.37 eV/atom. The calculation puts the final energy at -5.91 eV/atom.

Record 8
## KGa2PbAu2 (PBE-GGA)

Data for a relaxed structure of KGa2PbAu2.

Unit cell a=4.5650 b=4.5650 c=8.5940 alpha=90.00 beta=90.00 gamma=120.00
Atoms (fractional coordinates):
K 0.0000 0.0000 0.0000
Ga 0.6667 0.3333 0.2787
Ga 0.3333 0.6667 0.7213
Pb 0.0000 0.0000 0.5000
Au 0.6667 0.3333 0.7029
Au 0.3333 0.6667 0.2971

Properties
For the formation energy, the calculation gives -0.20 eV/atom. The calculation puts the final energy at -3.11 eV/atom.

Record 9
## ThCoCu (PBE-GGA)

Data for a relaxed structure of ThCoCu.

Unit cell a=3.6880 b=3.9202 c=7.8155 alpha=90.00 beta=90.01 gamma=90.00
Atoms (fractional coordinates):
Th 0.3117 0.7162 0.1190
Th 0.3116 0.2162 0.6738
Co 0.8116 0.2164 0.9868
Co 0.8116 0.7164 0.8060
Cu 0.8117 0.2160 0.3051
Cu 0.8115 0.7160 0.4878

Properties
For the formation energy, the calculation gives -0.21 eV/atom. The calculation puts the final energy at -6.41 eV/atom.

Record 10
## YSbTe2I (PBE-GGA)

Data for a relaxed structure of YSbTe2I.

Unit cell a=5.7611 b=5.7611 c=6.0808 alpha=90.00 beta=90.00 gamma=90.00
Atoms (fractional coordinates):
I 0.5000 0.5000 0.5000
Sb 0.0000 0.0000 0.5000
Te 0.0000 0.5000 0.0000
Te 0.5000 0.0000 0.0000
Y 0.0000 0.0000 0.0000

Properties
The calculation puts the final energy at -3.70 eV/atom. Its formation energy (no corrections) is -0.018 eV per atom.

Record 11
## Na2GdCd (PBE-GGA)

Data for a relaxed structure of Na2GdCd.

Unit cell a=3.3834 b=3.3834 c=12.4176 alpha=82.17 beta=82.17 gamma=60.00
Atoms (fractional coordinates):
Na 0.0925 0.0925 0.7226
Na 0.9075 0.9075 0.2774
Gd 0.0000 0.0000 0.0000
Cd 0.5000 0.5000 0.5000

Properties
For the formation energy, the calculation gives 0.17 eV/atom. The calculation puts the final energy at -4.24 eV/atom.

Record 12
## Pr6SmDy3Tm2 (PBE-GGA)

Data for a relaxed structure of Pr6SmDy3Tm2.

Unit cell a=6.3038 b=6.3038 c=11.8840 alpha=95.06 beta=95.06 gamma=120.00
Atoms (fractional coordinates):
Pr 0.9162 0.5822 0.7501
Pr 0.7499 0.7499 0.2497
Pr 0.0838 0.4178 0.2499
Pr 0.5822 0.9162 0.7501
Pr 0.2501 0.2501 0.7503
Pr 0.4178 0.0838 0.2499
Sm 0.0000 0.0000 0.0000
Dy 0.1668 0.8332 0.5000
Dy 0.8332 0.1668 0.5000
Dy 0.5000 0.5000 0.5000
Tm 0.3334 0.6666 0.0000
Tm 0.6666 0.3334 0.0000

Properties
For the formation energy, the calculation gives 0.01 eV/atom. The calculation puts the final energy at -4.67 eV/atom.

Record 13
## GaTeRuN2 (PBE-GGA)

Data for a relaxed structure of GaTeRuN2.

Unit cell a=3.8833 b=3.8833 c=5.6943 alpha=90.00 beta=90.00 gamma=90.00
Atoms (fractional coordinates):
Ru 0.0000 0.0000 0.0000
Te 0.0000 0.0000 0.5000
Ga 0.5000 0.5000 0.5000
N 0.0000 0.5000 0.0000
N 0.5000 0.0000 0.0000

Properties
The calculation puts the final energy at -5.69 eV/atom. Its formation energy (no corrections) is 0.732 eV per atom.

Record 14
## Cu3TcNi (PBE-GGA)

Data for a relaxed structure of Cu3TcNi.

Unit cell a=4.2407 b=4.2407 c=4.2407 alpha=90.00 beta=90.00 gamma=90.00
Atoms (fractional coordinates):
Ni 0.0000 0.0000 0.0000
Tc 0.5000 0.5000 0.5000
Cu 0.0000 0.5000 0.0000
Cu 0.0000 0.0000 0.5000
Cu 0.5000 0.0000 0.0000

Properties
For the formation energy, the calculation gives 1.31 eV/atom. The calculation puts the final energy at -4.38 eV/atom.

Record 15
## Ba2CrCo (PBE-GGA)

Data for a relaxed structure of Ba2CrCo.

Unit cell a=4.4425 b=4.4425 c=9.2310 alpha=80.21 beta=80.21 gamma=52.46
Atoms (fractional coordinates):
Ba 0.9842 0.9842 0.0430
Ba 0.5158 0.5158 0.4570
Co 0.2500 0.2500 0.2500
Cr 0.7500 0.7500 0.7500

Properties
For the formation energy, the calculation gives 0.94 eV/atom. The calculation puts the final energy at -4.20 eV/atom.

Record 16
## KTi2Te (PBE-GGA)

Data for a relaxed structure of KTi2Te.

Unit cell a=4.9218 b=4.9218 c=4.9218 alpha=60.00 beta=60.00 gamma=60.00
Atoms (fractional coordinates):
K 0.0000 0.0000 0.0000
Te 0.5000 0.5000 0.5000
Ti 0.2500 0.2500 0.2500
Ti 0.7500 0.7500 0.7500

Properties
The calculation puts the final energy at -4.35 eV/atom. Its formation energy (no corrections) is 0.659 eV per atom.

Record 17
## SrScAu2 (PBE-GGA)

Data for a relaxed structure of SrScAu2.

Unit cell a=7.7847 b=7.7847 c=6.6424 alpha=54.13 beta=54.13 gamma=90.00
Atoms (fractional coordinates):
Sc 0.5000 0.5000 0.0000
Sc 0.2500 0.7500 0.5000
Sr 0.0000 0.0000 0.0000
Sr 0.7500 0.2500 0.5000
Au 0.5780 0.1250 0.2500
Au 0.1720 0.6250 0.2500
Au 0.3750 0.4220 0.7500
Au 0.8750 0.8280 0.7500

Properties
For the formation energy, the calculation gives -0.41 eV/atom. The calculation puts the final energy at -4.05 eV/atom.

Record 18
## BaNa2S2 (PBE-GGA)

Data for a relaxed structure of BaNa2S2.

Unit cell a=8.2552 b=8.2552 c=4.0067 alpha=90.00 beta=90.00 gamma=90.00
Atoms (fractional coordinates):
Na 0.1246 0.6246 0.5000
Na 0.6246 0.8754 0.5000
Na 0.8754 0.3754 0.5000
Na 0.3754 0.1246 0.5000
S 0.3250 0.8250 0.0000
S 0.8250 0.6750 0.0000
S 0.6750 0.1750 0.0000
S 0.1750 0.3250 0.0000
Ba 0.0000 0.0000 0.0000
Ba 0.5000 0.5000 0.0000

Properties
The calculation puts the final energy at -3.65 eV/atom. Its formation energy (no corrections) is -1.090 eV per atom.

Record 19
## FeOs2Br (PBE-GGA)

Data for a relaxed structure of FeOs2Br.

Unit cell a=6.1327 b=6.1327 c=6.1327 alpha=153.79 beta=142.20 gamma=46.58
Atoms (fractional coordinates):
Br 0.7500 0.2500 0.5000
Fe 0.2500 0.7500 0.5000
Os 0.0467 0.0467 0.0000
Os 0.4533 0.4533 0.0000

Properties
The calculation puts the final energy at -7.25 eV/atom. Its formation energy (no corrections) is 0.895 eV per atom.

Record 20
## CaSi2I (PBE-GGA)

Data for a relaxed structure of CaSi2I.

Unit cell a=5.2175 b=5.2175 c=5.2175 alpha=60.00 beta=60.00 gamma=60.00
Atoms (fractional coordinates):
I 0.5000 0.5000 0.5000
Ca 0.0000 0.0000 0.0000
Si 0.2500 0.2500 0.2500
Si 0.7500 0.7500 0.7500

Properties
The calculation puts the final energy at -3.04 eV/atom. Its formation energy (no corrections) is 0.564 eV per atom.

Record 21
## Cu2Ru (PBE-GGA)

Data for a relaxed structure of Cu2Ru.

Unit cell a=6.0684 b=6.0684 c=6.0684 alpha=155.54 beta=155.54 gamma=34.86
Atoms (fractional coordinates):
Cu 0.0038 0.0038 0.0000
Cu 0.6629 0.6629 0.0000
Ru 0.3333 0.3333 0.0000

Properties
For the formation energy, the calculation gives 0.22 eV/atom. The calculation puts the final energy at -5.60 eV/atom.

Record 22
## Tb6IrOs2 (PBE-GGA)

Data for a relaxed structure of Tb6IrOs2.

Unit cell a=6.6761 b=7.4413 c=9.4438 alpha=90.00 beta=88.37 gamma=90.00
Atoms (fractional coordinates):
Tb 0.8353 0.9519 0.2400
Tb 0.8287 0.6722 0.5700
Tb 0.8468 0.6689 0.9300
Tb 0.6532 0.1689 0.5700
Tb 0.6713 0.1722 0.9300
Tb 0.6647 0.4519 0.2600
Tb 0.1647 0.0481 0.7600
Tb 0.1713 0.3278 0.4300
Tb 0.1532 0.3311 0.0700
Tb 0.3468 0.8311 0.4300
Tb 0.3287 0.8278 0.0700
Tb 0.3353 0.5481 0.7400
Ir 0.5000 0.5000 0.0000
Ir 0.0000 0.0000 0.5000
Os 0.9650 0.3770 0.7351
Os 0.5350 0.8770 0.7649
Os 0.4650 0.1230 0.2351
Os 0.0350 0.6230 0.2649

Properties
For the formation energy, the calculation gives -0.29 eV/atom. The calculation puts the final energy at -6.86 eV/atom.

Record 23
## RbTlZnF6 (PBE-GGA)

Data for a relaxed structure of RbTlZnF6.

Unit cell a=5.7628 b=5.7628 c=5.9767 alpha=90.00 beta=90.00 gamma=59.98
Atoms (fractional coordinates):
Rb 0.0000 0.0000 0.0000
Tl 0.6666 0.6667 0.5000
Zn 0.3333 0.3333 0.5000
F 0.0166 0.3736 0.3047
F 0.3736 0.0167 0.6953
F 0.6097 0.3737 0.6953
F 0.0166 0.6098 0.6952
F 0.3736 0.6097 0.3047
F 0.6098 0.0166 0.3047

Properties
The calculation puts the final energy at -4.01 eV/atom. Its formation energy (no corrections) is -2.252 eV per atom.

Record 24
## LiMg2Al (PBE-GGA)

Data for a relaxed structure of LiMg2Al.

Unit cell a=4.2071 b=4.2071 c=10.4792 alpha=78.42 beta=78.42 gamma=90.00
Atoms (fractional coordinates):
Mg 0.6278 0.1250 0.2500
Mg 0.1222 0.6250 0.2500
Mg 0.3750 0.3722 0.7500
Mg 0.8750 0.8778 0.7500
Al 0.0000 0.0000 0.0000
Al 0.7500 0.2500 0.5000
Li 0.5000 0.5000 0.0000
Li 0.2500 0.7500 0.5000

Properties
For the formation energy, the calculation gives 0.22 eV/atom. The calculation puts the final energy at -1.99 eV/atom.